Here is a relaxed Tb8Ho4Er3 crystal from Alexandria. Energies are from PBE-GGA.

The space group is R-3m (No. 166, hexagonal axes) and the conventional cell measures 6.8842, 6.8842 and 35.0457 Å, with angles of 90.00, 90.00 and 120.00 degrees. Symmetry generates all atoms from Tb at (0.0000, 0.0000, 0.2451), Tb at (0.0017, 0.5008, 0.7505), Ho at (0.0000, 0.0000, 0.0000), Ho at (0.0000, 0.0000, 0.3362), Ho at (0.0000, 0.0000, 0.5000) and Er at (0.0000, 0.5000, 0.5000).

The calculated volume comes out at 32.0 A^3/atom. The value obtained for the energy of formation from the pure elements is 0.149 eV/atom.

Here is a relaxed Dy2Ge3Pt9 crystal from Alexandria. Energies are from PBE-GGA.

The space group is C2/c (No. 15) and the conventional cell measures 13.5207, 7.8504 and 10.1207 Å, with angles of 90.00, 116.76 and 90.00 degrees. Symmetry generates all atoms from Dy at (0.1689, 0.0850, 0.2514), Ge at (0.0897, 0.2290, 0.4974), Ge at (0.2500, 0.2500, 0.0000), Pt at (0.0000, 0.3660, 0.2500), Pt at (0.0595, 0.0818, 0.9232), Pt at (0.1053, 0.3084, 0.7420), Pt at (0.1132, 0.4105, 0.0773) and Pt at (0.2228, 0.4178, 0.4198).

The calculated volume comes out at 17.1 A^3/atom. The value obtained for the energy of formation from the pure elements is -0.799 eV/atom.

Here is a relaxed Pm3Sc crystal from Alexandria. Energies are from PBE-GGA.

The space group is Imm2 (No. 44) and the conventional cell measures 3.6238, 11.4458 and 6.1752 Å, with angles of 90.00, 90.00 and 90.00 degrees. Symmetry generates all atoms from Pm at (0.0000, 0.0000, 0.0000), Pm at (0.0000, 0.2421, 0.6541) and Sc at (0.0000, 0.5000, 0.9940).

The calculated volume comes out at 32.0 A^3/atom. The value obtained for the energy of formation from the pure elements is 0.054 eV/atom.

Here is a relaxed Ca2YRe crystal from Alexandria. Energies are from PBE-GGA.

The space group is P4/mmm (No. 123) and the conventional cell measures 3.9756, 3.9756 and 6.6401 Å, with angles of 90.00, 90.00 and 90.00 degrees. Symmetry generates all atoms from Ca at (0.0000, 0.0000, 0.2112), Y at (0.5000, 0.5000, 0.5000) and Re at (0.5000, 0.5000, 0.0000).

The calculated volume comes out at 26.2 A^3/atom. The value obtained for the energy of formation from the pure elements is 0.757 eV/atom.

Here is a relaxed PmPrBe2Si2 crystal from Alexandria. Energies are from PBE-GGA.

The space group is P-3m1 (No. 164) and the conventional cell measures 3.9543, 3.9543 and 8.4932 Å, with angles of 90.00, 90.00 and 120.00 degrees. Symmetry generates all atoms from Pm at (0.0000, 0.0000, 0.0000), Pr at (0.0000, 0.0000, 0.5000), Be at (0.3333, 0.6667, 0.2460) and Si at (0.3333, 0.6667, 0.7542).

The uncorrected formation energy is -602 meV per atom. The calculated volume comes out at 19.2 A^3/atom.

Here is a relaxed HfCo2Ru crystal from Alexandria. Energies are from PBE-GGA.

The space group is I-42d (No. 122) and the conventional cell measures 3.6860, 3.6860 and 18.0437 Å, with angles of 90.00, 90.00 and 90.00 degrees. Symmetry generates all atoms from Hf at (0.0000, 0.0000, 0.0000), Co at (0.2139, 0.2500, 0.6250) and Ru at (0.0000, 0.0000, 0.5000).

The calculated volume comes out at 15.3 A^3/atom. The value obtained for the energy of formation from the pure elements is 0.302 eV/atom.

Which formula does entry 3 have?
Pm3Sc

Please write out number 4 again, unchanged.
Here is a relaxed Ca2YRe crystal from Alexandria. Energies are from PBE-GGA.

The space group is P4/mmm (No. 123) and the conventional cell measures 3.9756, 3.9756 and 6.6401 Å, with angles of 90.00, 90.00 and 90.00 degrees. Symmetry generates all atoms from Ca at (0.0000, 0.0000, 0.2112), Y at (0.5000, 0.5000, 0.5000) and Re at (0.5000, 0.5000, 0.0000).

The calculated volume comes out at 26.2 A^3/atom. The value obtained for the energy of formation from the pure elements is 0.757 eV/atom.

Please write out number 6 again, unchanged.
Here is a relaxed HfCo2Ru crystal from Alexandria. Energies are from PBE-GGA.

The space group is I-42d (No. 122) and the conventional cell measures 3.6860, 3.6860 and 18.0437 Å, with angles of 90.00, 90.00 and 90.00 degrees. Symmetry generates all atoms from Hf at (0.0000, 0.0000, 0.0000), Co at (0.2139, 0.2500, 0.6250) and Ru at (0.0000, 0.0000, 0.5000).

The calculated volume comes out at 15.3 A^3/atom. The value obtained for the energy of formation from the pure elements is 0.302 eV/atom.